Version w
## AsPdC3 (GGA-PBE)

Data for a relaxed structure of AsPdC3.

Calculated values
The crystal system is cubic. As for the space-group type: Pm-3m.

```
5
Lattice="3.901 0.000 0.000 0.000 3.901 0.000 0.000 0.000 3.901" Properties=species:S:1:pos:R:3 pbc="T T T"
As 0.000 0.000 0.000
Pd 1.951 1.951 1.951
C 0.000 0.000 1.951
C 0.000 1.951 0.000
C 1.951 0.000 0.000
```

Version x
## AsPdC3 (GGA-PBE)

Data for a relaxed structure of AsPdC3.

Calculated values
The crystal system is cubic. As for the space-group type: Pm-3m.

```
5
Lattice="4.050 0.000 0.000 0.000 4.050 0.000 0.000 0.000 4.050" Properties=species:S:1:pos:R:3 pbc="T T T"
As 0.000 0.000 0.000
Pd 2.025 2.025 2.025
C 0.000 2.025 2.025
C 2.025 0.000 2.025
C 2.025 2.025 0.000
```

Stability ranking, top entry: version w; the second entry is 138 meV/atom less favorable.

Version w
## AsPdCSe2 (GGA-PBE)

Data for a relaxed structure of AsPdCSe2.

Calculated values
The crystal system is tetragonal. As for the space-group type: P4/mmm.

```
5
Lattice="5.057 0.000 0.000 0.000 5.057 0.000 0.000 0.000 4.694" Properties=species:S:1:pos:R:3 pbc="T T T"
As 0.000 0.000 0.000
Pd 0.000 0.000 2.347
C 2.528 2.528 0.000
Se 0.000 2.528 2.347
Se 2.528 0.000 2.347
```

Version x
## AsPdCSe2 (GGA-PBE)

Data for a relaxed structure of AsPdCSe2.

Calculated values
The crystal system is tetragonal. As for the space-group type: P4/mmm.

```
5
Lattice="4.424 0.000 0.000 0.000 4.424 0.000 0.000 0.000 4.260" Properties=species:S:1:pos:R:3 pbc="T T T"
As 0.000 0.000 0.000
Pd 2.212 2.212 0.000
C 0.000 0.000 2.130
Se 0.000 2.212 2.130
Se 2.212 0.000 2.130
```

Stability ranking, top entry: version x; the second entry is 746 meV/atom less favorable.

Version w
## As2PtCSe (GGA-PBE)

Data for a relaxed structure of As2PtCSe.

Calculated values
The crystal system is tetragonal. As for the space-group type: P4/mmm.

```
5
Lattice="4.804 0.000 0.000 0.000 4.804 0.000 0.000 0.000 5.239" Properties=species:S:1:pos:R:3 pbc="T T T"
As 0.000 2.402 0.000
As 2.402 0.000 0.000
Pt 0.000 0.000 0.000
C 2.402 2.402 2.619
Se 0.000 0.000 2.619
```

Version x
## As2PtCSe (GGA-PBE)

Data for a relaxed structure of As2PtCSe.

Calculated values
The crystal system is tetragonal. As for the space-group type: P4/mmm.

```
5
Lattice="4.261 0.000 0.000 0.000 4.261 0.000 0.000 0.000 4.379" Properties=species:S:1:pos:R:3 pbc="T T T"
As 0.000 2.130 0.000
As 2.130 0.000 0.000
Pt 0.000 0.000 2.190
C 2.130 2.130 0.000
Se 2.130 2.130 2.190
```

Stability ranking, top entry: version x; the second entry is 814 meV/atom less favorable.

Version w
## RbAsCSe2 (GGA-PBE)

Data for a relaxed structure of RbAsCSe2.

Calculated values
The crystal system is tetragonal. As for the space-group type: P4/mmm.

```
5
Lattice="5.086 0.000 0.000 0.000 5.086 0.000 0.000 0.000 4.227" Properties=species:S:1:pos:R:3 pbc="T T T"
Rb 0.000 0.000 0.000
As 2.543 2.543 0.000
C 2.543 2.543 2.114
Se 0.000 2.543 2.114
Se 2.543 0.000 2.114
```

Version x
## RbAsCSe2 (GGA-PBE)

Data for a relaxed structure of RbAsCSe2.

Calculated values
The crystal system is tetragonal. As for the space-group type: P4/mmm.

```
5
Lattice="6.716 0.000 0.000 0.000 6.716 0.000 0.000 0.000 7.180" Properties=species:S:1:pos:R:3 pbc="T T T"
Rb 0.000 0.000 0.000
As 0.000 0.000 3.590
C 3.358 3.358 3.590
Se 0.000 3.358 0.000
Se 3.358 0.000 0.000
```

Stability ranking, top entry: version w; the second entry is 1813 meV/atom less favorable.

Version w
## ReAsCSe2 (GGA-PBE)

Data for a relaxed structure of ReAsCSe2.

Calculated values
The crystal system is tetragonal. As for the space-group type: P4/mmm.

```
5
Lattice="4.259 0.000 0.000 0.000 4.259 0.000 0.000 0.000 4.189" Properties=species:S:1:pos:R:3 pbc="T T T"
Re 0.000 0.000 0.000
As 2.129 2.129 0.000
C 2.129 2.129 2.095
Se 0.000 2.129 2.095
Se 2.129 0.000 2.095
```

Version x
## ReAsCSe2 (GGA-PBE)

Data for a relaxed structure of ReAsCSe2.

Calculated values
The crystal system is tetragonal. As for the space-group type: P4/mmm.

```
5
Lattice="4.846 0.000 0.000 0.000 4.846 0.000 0.000 0.000 4.874" Properties=species:S:1:pos:R:3 pbc="T T T"
Re 0.000 0.000 0.000
As 0.000 0.000 2.437
C 2.423 2.423 2.437
Se 0.000 2.423 0.000
Se 2.423 0.000 0.000
```

Stability ranking, top entry: version w; the second entry is 308 meV/atom less favorable.

Version w
## AsRhC3 (GGA-PBE)

Data for a relaxed structure of AsRhC3.

Calculated values
The crystal system is cubic. As for the space-group type: Pm-3m.

```
5
Lattice="3.864 0.000 0.000 0.000 3.864 0.000 0.000 0.000 3.864" Properties=species:S:1:pos:R:3 pbc="T T T"
As 0.000 0.000 0.000
Rh 1.932 1.932 1.932
C 0.000 0.000 1.932
C 0.000 1.932 0.000
C 1.932 0.000 0.000
```

Version x
## AsRhC3 (GGA-PBE)

Data for a relaxed structure of AsRhC3.

Calculated values
The crystal system is cubic. As for the space-group type: Pm-3m.

```
5
Lattice="4.011 0.000 0.000 0.000 4.011 0.000 0.000 0.000 4.011" Properties=species:S:1:pos:R:3 pbc="T T T"
As 0.000 0.000 0.000
Rh 2.006 2.006 2.006
C 0.000 2.006 2.006
C 2.006 0.000 2.006
C 2.006 2.006 0.000
```

Stability ranking, top entry: version x; the second entry is 289 meV/atom less favorable.